Entry 1:
First-principles (PBE) data for crystalline K9NaHg2 at its relaxed geometry, as listed in Alexandria.

Summary:
DOS(E_F): 17.05 states/eV/cell
mass density: 1.88 g cm⁻³
DFT total energy: -1.011 eV per atom
space group: No. 141
spin magnetization: 0.000 μB/f.u.
energy of formation from the pure elements: -0.027 eV per atom

a = 13.029 Å, b = 13.029 Å, c = 13.029 Å
α = 97.20°, β = 97.20°, γ = 138.52°
Atoms (fractional coordinates):
K: 0.013 0.233 0.465
K: 0.013 0.547 0.779
K: 0.233 0.013 0.965
K: 0.233 0.268 0.221
K: 0.268 0.233 0.721
K: 0.268 0.547 0.035
K: 0.375 0.625 0.750
K: 0.453 0.732 0.465
K: 0.453 0.987 0.721
K: 0.547 0.013 0.279
K: 0.547 0.268 0.535
K: 0.625 0.375 0.250
K: 0.732 0.453 0.965
K: 0.732 0.767 0.279
K: 0.767 0.732 0.779
K: 0.767 0.987 0.035
K: 0.987 0.453 0.221
K: 0.987 0.767 0.535
Na: 0.125 0.875 0.250
Na: 0.875 0.125 0.750
Hg: 0.000 0.500 0.500
Hg: 0.500 0.000 0.000
Hg: 0.500 0.500 0.000
Hg: 0.500 0.500 0.500



Entry 2:
First-principles (PBE) data for crystalline K2NaHg2 at its relaxed geometry, as listed in Alexandria.

Summary:
DOS(E_F): 4.10 states/eV/cell
mass density: 4.24 g cm⁻³
DFT total energy: -0.947 eV per atom
space group: No. 127
E above lowest polymorph: 0.431 eV/f.u.
spin magnetization: 0.000 μB/f.u.
energy of formation from the pure elements: -0.124 eV per atom

a = 10.260 Å, b = 10.260 Å, c = 3.735 Å
α = 90.00°, β = 90.00°, γ = 90.00°
Atoms (fractional coordinates):
K: 0.181 0.319 0.000
K: 0.319 0.819 0.000
K: 0.681 0.181 0.000
K: 0.819 0.681 0.000
Na: 0.000 0.000 0.000
Na: 0.500 0.500 0.000
Hg: 0.109 0.609 0.500
Hg: 0.391 0.109 0.500
Hg: 0.609 0.891 0.500
Hg: 0.891 0.391 0.500



Entry 3:
First-principles (PBE) data for crystalline KNa8Hg2 at its relaxed geometry, as listed in Alexandria.

Summary:
DOS(E_F): 5.57 states/eV/cell
mass density: 2.56 g cm⁻³
DFT total energy: -1.140 eV per atom
space group: No. 164
E above lowest polymorph: 0.781 eV/f.u.
spin magnetization: 0.000 μB/f.u.
energy of formation from the pure elements: -0.026 eV per atom

a = 6.775 Å, b = 6.775 Å, c = 10.201 Å
α = 90.00°, β = 90.00°, γ = 120.00°
Atoms (fractional coordinates):
K: 0.000 0.000 0.000
Na: 0.169 0.338 0.358
Na: 0.169 0.831 0.358
Na: 0.333 0.667 0.800
Na: 0.338 0.169 0.642
Na: 0.662 0.831 0.358
Na: 0.667 0.333 0.200
Na: 0.831 0.169 0.642
Na: 0.831 0.662 0.642
Hg: 0.333 0.667 0.108
Hg: 0.667 0.333 0.892



Entry 4:
First-principles (PBE) data for crystalline K6Na3Hg at its relaxed geometry, as listed in Alexandria.

Summary:
DOS(E_F): 10.67 states/eV/cell
mass density: 1.54 g cm⁻³
DFT total energy: -1.100 eV per atom
space group: No. 58
E above lowest polymorph: 0.134 eV/f.u.
spin magnetization: 0.000 μB/f.u.
energy of formation from the pure elements: -0.015 eV per atom

a = 11.688 Å, b = 14.949 Å, c = 6.213 Å
α = 90.00°, β = 90.00°, γ = 90.00°
Atoms (fractional coordinates):
K: 0.023 0.237 0.000
K: 0.154 0.066 0.500
K: 0.208 0.393 0.500
K: 0.292 0.893 0.000
K: 0.346 0.566 0.000
K: 0.477 0.737 0.500
K: 0.523 0.263 0.500
K: 0.654 0.434 0.000
K: 0.708 0.107 0.000
K: 0.792 0.607 0.500
K: 0.846 0.934 0.500
K: 0.977 0.763 0.000
Na: 0.000 0.500 0.000
Na: 0.144 0.660 0.500
Na: 0.356 0.160 0.000
Na: 0.500 0.000 0.500
Na: 0.644 0.840 0.000
Na: 0.856 0.340 0.500
Hg: 0.000 0.000 0.000
Hg: 0.500 0.500 0.500